The following is a DFT calculation (PBE) of a relaxed structure of Pr4GeSe2Br.

Calculated values
As for the formation energy (no corrections): -1.49 eV per atom. The total energy is -0.407 Ry per atom.

Cell lengths 7.3870, 4.2925, 7.5877 Å; angles 90.00, 109.03, 90.00 degrees
Fractional positions:
Pr  0.2361  0.0000  0.2231
Pr  0.2520  0.5000  0.7682
Pr  0.7480  0.5000  0.2318
Pr  0.7639  0.0000  0.7769
Ge  0.5000  0.0000  0.0000
Se  0.0000  0.0000  0.5000
Se  0.0000  0.5000  0.0000
Br  0.5000  0.5000  0.5000

The following is a DFT calculation (PBE) of a relaxed structure of LiCaAl2.

Calculated values
As for the calculated formation energy: -129 meV per atom. The total energy is -0.219 Ry per atom. Its energy above the most stable polymorph in this dataset is 0.12 eV/f.u.

Cell lengths 4.8119, 4.8119, 4.8119 Å; angles 120.08, 120.08, 89.86 degrees
Fractional positions:
Li  0.0000  0.0000  0.0000
Ca  0.2500  0.7500  0.5000
Al  0.5000  0.5000  0.0000
Al  0.7500  0.2500  0.5000

The following is a DFT calculation (PBE) of a relaxed structure of SiIr.

Calculated values
As for the formation energy (no corrections): -0.42 eV per atom. The total energy is -0.556 Ry per atom.

Cell lengths 4.1822, 4.1822, 4.1822 Å; angles 40.17, 40.17, 40.17 degrees
Fractional positions:
Si  0.0000  0.0000  0.0000
Ir  0.5000  0.5000  0.5000